No. 1
VASP calculation (PBE) on a relaxed structure of Cr2GeBr.

a = 4.393 Å, b = 4.393 Å, c = 4.393 Å
α = 60.00°, β = 60.00°, γ = 60.00°
Positions (direct):
Cr 0.250 0.250 0.250
Cr 0.750 0.750 0.750
Ge 0.000 0.000 0.000
Br 0.500 0.500 0.500

Values from the calculation:
As for the relative energy among the computed polymorphs: 160.3 meV per atom. As for the symmetry: Fm-3m. The calculation puts the total magnetic moment at 3.4 Bohr magnetons per cell. The uncorrected formation energy is 2.63 eV per formula unit. For the final energy, the calculation gives -22.91 eV/cell.

No. 2
VASP calculation (PBE) on a relaxed structure of CdIn2Ir.

a = 5.033 Å, b = 5.033 Å, c = 5.299 Å
α = 99.97°, β = 99.97°, γ = 37.39°
Positions (direct):
Cd 0.000 0.000 0.000
In 0.236 0.236 0.728
In 0.764 0.764 0.272
Ir 0.500 0.500 0.500

Values from the calculation:
As for the symmetry: C2/m. The calculation puts the total magnetic moment at 0.0 Bohr magnetons per cell. For the final energy, the calculation gives -14.73 eV/cell.

No. 3
VASP calculation (PBE) on a relaxed structure of Pm4ZrPd5.

a = 3.517 Å, b = 3.517 Å, c = 18.093 Å
α = 90.00°, β = 90.00°, γ = 90.00°
Positions (direct):
Pm 0.000 0.000 0.103
Pm 0.000 0.000 0.308
Pm 0.000 0.000 0.692
Pm 0.000 0.000 0.897
Zr 0.000 0.000 0.500
Pd 0.500 0.500 0.000
Pd 0.500 0.500 0.204
Pd 0.500 0.500 0.419
Pd 0.500 0.500 0.581
Pd 0.500 0.500 0.796

Values from the calculation:
As for the symmetry: P4/mmm. The calculation puts the total magnetic moment at 0.0 Bohr magnetons per cell. For the final energy, the calculation gives -60.71 eV/cell.

No. 4
VASP calculation (PBE) on a relaxed structure of La4PrSi4.

a = 9.178 Å, b = 9.178 Å, c = 6.192 Å
α = 90.00°, β = 90.00°, γ = 90.00°
Positions (direct):
La 0.048 0.671 0.111
La 0.171 0.952 0.611
La 0.329 0.548 0.611
La 0.452 0.829 0.111
La 0.548 0.171 0.889
La 0.671 0.452 0.389
La 0.829 0.048 0.389
La 0.952 0.329 0.889
Pr 0.250 0.250 0.250
Pr 0.750 0.750 0.750
Si 0.013 0.615 0.597
Si 0.115 0.987 0.097
Si 0.385 0.513 0.097
Si 0.487 0.885 0.597
Si 0.513 0.115 0.403
Si 0.615 0.487 0.903
Si 0.885 0.013 0.903
Si 0.987 0.385 0.403

Values from the calculation:
As for the symmetry: P4_2/n. The calculation puts the total magnetic moment at 0.0 Bohr magnetons per cell. The uncorrected formation energy is -4.27 eV per formula unit. For the final energy, the calculation gives -100.90 eV/cell.